# 1
Material: Tb6HoPd2
Method: DFT, GGA-PBE
State: optimized geometry

Properties
- ΔE_f: -0.37 eV/atom
- Raw total energy: -5.124 eV/atom

Lattice parameters (Å, degrees): 8.2762 8.2762 10.8186 128.04 128.04 25.81
Closest atoms and distances in Å follow each position.
Sites, in units of the cell vectors:
Tb 0.0320 0.0320 0.1894  2 Pd 3.00
Tb 0.2858 0.2858 0.8896  3 Pd 2.94-3.10
Tb 0.3064 0.3064 0.4451  7 Tb 3.30-3.58, 2 Ho 3.34, 2 Pd 3.52-3.62
Tb 0.6936 0.6936 0.5549  7 Tb 3.30-3.58, 2 Ho 3.34, 2 Pd 3.52-3.62
Tb 0.7142 0.7142 0.1104  3 Pd 2.94-3.10
Tb 0.9680 0.9680 0.8106  2 Pd 3.00
Ho 0.0000 0.0000 0.5000  4 Pd 2.90
Pd 0.4073 0.4073 0.2364  2 Ho 2.90, 5 Tb 2.94-3.10
Pd 0.5927 0.5927 0.7636  2 Ho 2.90, 5 Tb 2.94-3.10

# 2
Material: TbHo2Pd2
Method: DFT, GGA-PBE
State: optimized geometry

Properties
- ΔE_f: -0.73 eV/atom
- Energy above the most stable polymorph in this dataset: 0.000 eV per atom
- Raw total energy: -5.567 eV/atom

Lattice parameters (Å, degrees): 7.8013 7.8013 3.9250 90.00 90.00 90.00
Closest atoms and distances in Å follow each position.
Sites, in units of the cell vectors:
Tb 0.0000 0.0000 0.0000  4 Pd 3.05
Tb 0.5000 0.5000 0.0000  4 Pd 3.05
Ho 0.1644 0.3356 0.5000  6 Pd 2.98-3.04
Ho 0.3356 0.8356 0.5000  6 Pd 2.98-3.04
Ho 0.6644 0.1644 0.5000  6 Pd 2.98-3.04
Ho 0.8356 0.6644 0.5000  6 Pd 2.98-3.04
Pd 0.1323 0.6323 0.0000  1 Pd 2.92, 6 Ho 2.98-3.04, 2 Tb 3.05
Pd 0.3677 0.1323 0.0000  1 Pd 2.92, 6 Ho 2.98-3.04, 2 Tb 3.05
Pd 0.6323 0.8677 0.0000  1 Pd 2.92, 6 Ho 2.98-3.04, 2 Tb 3.05
Pd 0.8677 0.3677 0.0000  1 Pd 2.92, 6 Ho 2.98-3.04, 2 Tb 3.05

# 3
Material: TbHoPd
Method: DFT, GGA-PBE
State: optimized geometry

Properties
- ΔE_f: -0.55 eV/atom
- Energy above the most stable polymorph in this dataset: 0.011 eV per atom
- Raw total energy: -5.351 eV/atom

Lattice parameters (Å, degrees): 3.5497 3.5497 12.1817 90.00 90.00 90.00
Closest atoms and distances in Å follow each position.
Sites, in units of the cell vectors:
Tb 0.0000 0.0000 0.0000  4 Pd 3.05, 1 Ho 3.36
Tb 0.5000 0.5000 0.5000  4 Pd 3.05, 1 Ho 3.36
Ho 0.0000 0.0000 0.2760  4 Pd 2.99
Ho 0.5000 0.5000 0.7760  4 Pd 2.99
Pd 0.0000 0.0000 0.6421  4 Ho 2.99, 4 Tb 3.05
Pd 0.5000 0.5000 0.1421  4 Ho 2.99, 4 Tb 3.05

# 4
Material: TbHoPd14
Method: DFT, GGA-PBE
State: optimized geometry

Properties
- ΔE_f: -0.42 eV/atom
- Raw total energy: -5.535 eV/atom

Lattice parameters (Å, degrees): 5.7540 5.7540 7.9745 90.00 90.00 90.00
Closest atoms and distances in Å follow each position.
Sites, in units of the cell vectors:
Tb 0.0000 0.0000 0.0000  12 Pd 2.88-2.90
Ho 0.5000 0.5000 0.0000  12 Pd 2.88-2.89
Pd 0.0000 0.0000 0.5000  12 Pd 2.81-2.88
Pd 0.0000 0.5000 0.0000  2 Ho 2.88, 2 Tb 2.88, 8 Pd 2.90
Pd 0.0000 0.5000 0.5000  12 Pd 2.80-2.88
Pd 0.2505 0.2505 0.2583  10 Pd 2.80-2.90, 1 Ho 2.89, 1 Tb 2.90
Pd 0.2505 0.2505 0.7417  10 Pd 2.80-2.90, 1 Ho 2.89, 1 Tb 2.90
Pd 0.2505 0.7495 0.2583  10 Pd 2.80-2.90, 1 Ho 2.89, 1 Tb 2.90
Pd 0.2505 0.7495 0.7417  10 Pd 2.80-2.90, 1 Ho 2.89, 1 Tb 2.90
Pd 0.5000 0.0000 0.0000  2 Ho 2.88, 2 Tb 2.88, 8 Pd 2.90
Pd 0.5000 0.0000 0.5000  12 Pd 2.80-2.88
Pd 0.5000 0.5000 0.5000  12 Pd 2.80-2.88
Pd 0.7495 0.2505 0.2583  10 Pd 2.80-2.90, 1 Ho 2.89, 1 Tb 2.90
Pd 0.7495 0.2505 0.7417  10 Pd 2.80-2.90, 1 Ho 2.89, 1 Tb 2.90
Pd 0.7495 0.7495 0.2583  10 Pd 2.80-2.90, 1 Ho 2.89, 1 Tb 2.90
Pd 0.7495 0.7495 0.7417  10 Pd 2.80-2.90, 1 Ho 2.89, 1 Tb 2.90

# 5
Material: TbHoPd
Method: DFT, GGA-PBE
State: optimized geometry

Properties
- ΔE_f: -0.56 eV/atom
- Energy above the most stable polymorph in this dataset: 0.000 eV per atom
- Raw total energy: -5.362 eV/atom

Lattice parameters (Å, degrees): 7.4008 7.4008 4.8371 90.00 90.00 120.00
Closest atoms and distances in Å follow each position.
Sites, in units of the cell vectors:
Tb 0.0000 0.2639 0.0000  2 Pd 2.76
Tb 0.2639 0.0000 0.0000  2 Pd 2.76
Tb 0.7361 0.7361 0.0000  2 Pd 2.76
Ho 0.0000 0.5941 0.5000  5 Pd 3.00-3.30
Ho 0.4059 0.4059 0.5000  5 Pd 3.00-3.30
Ho 0.5941 0.0000 0.5000  5 Pd 3.00-3.30
Pd 0.0000 0.0000 0.5000  3 Ho 3.00, 6 Tb 3.11
Pd 0.3333 0.6667 0.0000  3 Tb 2.76
Pd 0.6667 0.3333 0.0000  3 Tb 2.76

# 6
Material: Tb4HoPd2
Method: DFT, GGA-PBE
State: optimized geometry

Properties
- ΔE_f: -0.34 eV/atom
- Energy above the most stable polymorph in this dataset: 0.087 eV per atom
- Raw total energy: -5.123 eV/atom

Lattice parameters (Å, degrees): 15.1480 15.1480 15.1480 15.11 15.11 15.11
Closest atoms and distances in Å follow each position.
Sites, in units of the cell vectors:
Tb 0.1048 0.1048 0.1048  3 Pd 2.83
Tb 0.3017 0.3017 0.3017  3 Pd 2.82
Tb 0.6983 0.6983 0.6983  3 Pd 2.82
Tb 0.8952 0.8952 0.8952  3 Pd 2.83
Ho 0.5000 0.5000 0.5000  6 Tb 3.61, 6 Ho 3.98
Pd 0.4015 0.4015 0.4015  6 Tb 2.82-2.83
Pd 0.5985 0.5985 0.5985  6 Tb 2.82-2.83

# 7
Material: TbHo2Pd9
Method: DFT, GGA-PBE
State: optimized geometry

Properties
- ΔE_f: -0.88 eV/atom
- Raw total energy: -5.921 eV/atom

Lattice parameters (Å, degrees): 4.1209 4.1209 12.3595 90.00 90.00 90.00
Closest atoms and distances in Å follow each position.
Sites, in units of the cell vectors:
Tb 0.0000 0.0000 0.0000  12 Pd 2.91-2.93
Ho 0.0000 0.0000 0.3342  12 Pd 2.91
Ho 0.0000 0.0000 0.6658  12 Pd 2.91
Pd 0.0000 0.5000 0.1680  8 Pd 2.90-2.93, 2 Ho 2.91, 2 Tb 2.93
Pd 0.0000 0.5000 0.5000  4 Ho 2.91, 8 Pd 2.91
Pd 0.0000 0.5000 0.8320  8 Pd 2.90-2.93, 2 Ho 2.91, 2 Tb 2.93
Pd 0.5000 0.0000 0.1680  8 Pd 2.90-2.93, 2 Ho 2.91, 2 Tb 2.93
Pd 0.5000 0.0000 0.5000  4 Ho 2.91, 8 Pd 2.91
Pd 0.5000 0.0000 0.8320  8 Pd 2.90-2.93, 2 Ho 2.91, 2 Tb 2.93
Pd 0.5000 0.5000 0.0000  4 Tb 2.91, 8 Pd 2.93
Pd 0.5000 0.5000 0.3336  8 Pd 2.90-2.91, 4 Ho 2.91
Pd 0.5000 0.5000 0.6664  8 Pd 2.90-2.91, 4 Ho 2.91

# 8
Material: TbHoPd3
Method: DFT, GGA-PBE
State: optimized geometry

Properties
- ΔE_f: -0.84 eV/atom
- Raw total energy: -5.795 eV/atom

Lattice parameters (Å, degrees): 7.9315 5.6104 10.2361 90.00 116.01 90.00
Closest atoms and distances in Å follow each position.
Sites, in units of the cell vectors:
Tb 0.1447 0.2458 0.0394  8 Pd 2.90-3.14
Tb 0.1447 0.2542 0.5394  8 Pd 2.90-3.14
Tb 0.8553 0.7458 0.4606  8 Pd 2.90-3.14
Tb 0.8553 0.7542 0.9606  8 Pd 2.90-3.14
Ho 0.3774 0.6714 0.3132  5 Pd 2.74-2.97
Ho 0.3774 0.8286 0.8132  5 Pd 2.74-2.97
Ho 0.6226 0.1714 0.1868  5 Pd 2.74-2.97
Ho 0.6226 0.3286 0.6868  5 Pd 2.74-2.97
Pd 0.0054 0.0355 0.7518  6 Pd 2.81-3.04, 3 Tb 2.90-3.14, 1 Ho 2.97
Pd 0.0054 0.4645 0.2518  6 Pd 2.81-3.04, 3 Tb 2.90-3.14, 1 Ho 2.97
Pd 0.2473 0.7476 0.5173  2 Ho 2.74-2.78, 3 Pd 2.81-3.00, 3 Tb 2.90-2.99
Pd 0.2473 0.7524 0.0173  2 Ho 2.74-2.78, 3 Pd 2.81-3.00, 3 Tb 2.90-2.99
Pd 0.3639 0.1707 0.3637  3 Pd 2.81-3.04, 2 Ho 2.86-2.87, 2 Tb 3.03-3.04
Pd 0.3639 0.3293 0.8637  3 Pd 2.81-3.04, 2 Ho 2.86-2.87, 2 Tb 3.03-3.04
Pd 0.6361 0.6707 0.1363  3 Pd 2.81-3.04, 2 Ho 2.86-2.87, 2 Tb 3.03-3.04
Pd 0.6361 0.8293 0.6363  3 Pd 2.81-3.04, 2 Ho 2.86-2.87, 2 Tb 3.03-3.04
Pd 0.7527 0.2476 0.9827  2 Ho 2.74-2.78, 3 Pd 2.81-3.00, 3 Tb 2.90-2.99
Pd 0.7527 0.2524 0.4827  2 Ho 2.74-2.78, 3 Pd 2.81-3.00, 3 Tb 2.90-2.99
Pd 0.9946 0.5355 0.7482  6 Pd 2.81-3.04, 3 Tb 2.90-3.14, 1 Ho 2.97
Pd 0.9946 0.9645 0.2482  6 Pd 2.81-3.04, 3 Tb 2.90-3.14, 1 Ho 2.97

# 9
Material: TbHoTcPd
Method: DFT, GGA-PBE
State: optimized geometry

Properties
- ΔE_f: -0.37 eV/atom
- Raw total energy: -6.562 eV/atom

Lattice parameters (Å, degrees): 6.9042 6.9042 6.9042 90.00 90.00 90.00
Closest atoms and distances in Å follow each position.
Sites, in units of the cell vectors:
Tb 0.0000 0.0000 0.0000  4 Tc 2.99, 4 Pd 2.99
Tb 0.0000 0.5000 0.5000  4 Tc 2.99, 4 Pd 2.99
Tb 0.5000 0.0000 0.5000  4 Tc 2.99, 4 Pd 2.99
Tb 0.5000 0.5000 0.0000  4 Tc 2.99, 4 Pd 2.99
Ho 0.0000 0.0000 0.5000  4 Pd 2.99, 4 Tc 2.99
Ho 0.0000 0.5000 0.0000  4 Pd 2.99, 4 Tc 2.99
Ho 0.5000 0.0000 0.0000  4 Pd 2.99, 4 Tc 2.99
Ho 0.5000 0.5000 0.5000  4 Tc 2.99, 4 Pd 2.99
Tc 0.2500 0.2500 0.2500  4 Ho 2.99, 4 Tb 2.99
Tc 0.2500 0.7500 0.7500  4 Tb 2.99, 4 Ho 2.99
Tc 0.7500 0.2500 0.7500  4 Tb 2.99, 4 Ho 2.99
Tc 0.7500 0.7500 0.2500  4 Ho 2.99, 4 Tb 2.99
Pd 0.2500 0.2500 0.7500  4 Tb 2.99, 4 Ho 2.99
Pd 0.2500 0.7500 0.2500  4 Tb 2.99, 4 Ho 2.99
Pd 0.7500 0.2500 0.2500  4 Tb 2.99, 4 Ho 2.99
Pd 0.7500 0.7500 0.7500  4 Tb 2.99, 4 Ho 2.99

# 10
Material: TbHoZnPd
Method: DFT, GGA-PBE
State: optimized geometry

Properties
- ΔE_f: -0.63 eV/atom
- Energy above the most stable polymorph in this dataset: 0.000 eV per atom
- Raw total energy: -4.548 eV/atom

Lattice parameters (Å, degrees): 3.5552 3.5552 6.9906 90.00 90.00 90.00
Closest atoms and distances in Å follow each position.
Sites, in units of the cell vectors:
Tb 0.0000 0.0000 0.0000  4 Pd 3.07, 4 Zn 3.09, 1 Ho 3.43
Ho 0.0000 0.0000 0.4911  4 Pd 3.02, 4 Zn 3.06
Zn 0.5000 0.5000 0.7418  4 Ho 3.06, 4 Tb 3.09, 1 Pd 3.43
Pd 0.5000 0.5000 0.2512  4 Ho 3.02, 4 Tb 3.07

# 11
Material: TbHoZnPd
Method: DFT, GGA-PBE
State: optimized geometry

Properties
- ΔE_f: -0.60 eV/atom
- Energy above the most stable polymorph in this dataset: 0.025 eV per atom
- Raw total energy: -4.523 eV/atom

Lattice parameters (Å, degrees): 7.0740 7.0740 7.0740 90.00 90.00 90.00
Closest atoms and distances in Å follow each position.
Sites, in units of the cell vectors:
Tb 0.0000 0.0000 0.0000  4 Pd 3.06, 4 Zn 3.06
Tb 0.0000 0.5000 0.5000  4 Pd 3.06, 4 Zn 3.06
Tb 0.5000 0.0000 0.5000  4 Pd 3.06, 4 Zn 3.06
Tb 0.5000 0.5000 0.0000  4 Pd 3.06, 4 Zn 3.06
Ho 0.0000 0.0000 0.5000  4 Zn 3.06, 4 Pd 3.06
Ho 0.0000 0.5000 0.0000  4 Zn 3.06, 4 Pd 3.06
Ho 0.5000 0.0000 0.0000  4 Zn 3.06, 4 Pd 3.06
Ho 0.5000 0.5000 0.5000  4 Zn 3.06, 4 Pd 3.06
Zn 0.2500 0.2500 0.2500  4 Tb 3.06, 4 Ho 3.06
Zn 0.2500 0.7500 0.7500  4 Tb 3.06, 4 Ho 3.06
Zn 0.7500 0.2500 0.7500  4 Tb 3.06, 4 Ho 3.06
Zn 0.7500 0.7500 0.2500  4 Tb 3.06, 4 Ho 3.06
Pd 0.2500 0.2500 0.7500  4 Tb 3.06, 4 Ho 3.06
Pd 0.2500 0.7500 0.2500  4 Tb 3.06, 4 Ho 3.06
Pd 0.7500 0.2500 0.2500  4 Tb 3.06, 4 Ho 3.06
Pd 0.7500 0.7500 0.7500  4 Tb 3.06, 4 Ho 3.06

The lowest ΔE_f belongs to which entry?
TbHo2Pd9